(1)
DFT (PBE) results for crystalline NpNi2H8 at its relaxed geometry.

Cell: 3.935 4.557 4.557 Å, 118.13 90.01 90.01°
Fractional positions:
H 0.000 0.024 0.295
H 0.000 0.295 0.024
H 0.249 0.500 0.500
H 0.500 0.692 0.308
H 0.500 0.308 0.692
H 0.751 0.500 0.500
H 0.000 0.705 0.976
H 0.000 0.976 0.705
Ni 0.000 0.329 0.671
Ni 0.000 0.671 0.329
Np 0.500 0.000 0.000

Results
The crystal system is orthorhombic. Its space-group type is Cmmm (65).


(2)
DFT (PBE) results for crystalline NpNi2H8 at its relaxed geometry.

Cell: 4.031 4.031 5.859 Å, 110.12 110.12 90.00°
Fractional positions:
H 0.936 0.936 0.322
H 0.064 0.613 0.678
H 0.064 0.064 0.678
H 0.613 0.064 0.678
H 0.936 0.387 0.322
H 0.387 0.936 0.322
H 0.613 0.613 0.678
H 0.387 0.387 0.322
Ni 0.250 0.750 0.500
Ni 0.750 0.250 0.500
Np 0.500 0.500 0.000

Results
The crystal system is tetragonal. Its space-group type is I4/mmm (139).


(3)
DFT (PBE) results for crystalline NpNiH at its relaxed geometry.

Cell: 3.438 3.788 3.788 Å, 120.00 90.00 90.00°
Fractional positions:
H 0.167 0.000 0.000
Ni 0.667 0.333 0.667
Np 0.166 0.667 0.333

Results
The crystal system is hexagonal. Its space-group type is P-6m2 (187).


(4)
DFT (PBE) results for crystalline NpNiH at its relaxed geometry.

Cell: 4.329 4.329 4.920 Å, 116.10 116.10 90.00°
Fractional positions:
Np 0.062 0.562 0.123
Np 0.812 0.812 0.623
Ni 0.576 0.076 0.151
Ni 0.326 0.326 0.651
H 0.363 0.863 0.726
H 0.113 0.113 0.226

Results
The crystal system is tetragonal. Its space-group type is I4_1md (109).


no.,energy relative to the lowest polymorph listed for this composition (meV per atom),E_tot (eV per cell)
1,0.0,-51.0
2,101.1,-49.9
3,223.2,-21.3
4,0.0,-43.9